[1]
The following is a DFT calculation (GGA-PBE) of an optimized crystal structure of Mg6CdIn5.

Cell: 9.9704 5.8234 5.7761 Å, 59.73 84.19 78.42°
With the nearest neighbours (Å) after each atom.
Sites, in units of the cell vectors:
Mg 0.7542 0.0829 0.3313  1 Cd 3.07, 5 In 3.08-3.16, 6 Mg 3.30-3.36
Mg 0.2458 0.5858 0.3313  1 Cd 3.07, 5 In 3.08-3.16, 6 Mg 3.30-3.36
Mg 0.2459 0.2484 0.0000  5 In 3.08-3.17, 1 Cd 3.09, 6 Mg 3.33-3.36
Mg 0.7541 0.7516 0.0000  5 In 3.08-3.17, 1 Cd 3.09, 6 Mg 3.33-3.36
Mg 0.7542 0.4142 0.6687  1 Cd 3.07, 5 In 3.08-3.16, 6 Mg 3.30-3.36
Mg 0.2458 0.9171 0.6687  1 Cd 3.07, 5 In 3.08-3.16, 6 Mg 3.30-3.36
Cd 0.0000 0.0000 0.0000  6 Mg 3.07-3.09, 6 In 3.32-3.35
In 0.5000 0.1677 0.6646  6 Mg 3.14-3.16, 6 In 3.32-3.36
In 0.0000 0.3330 0.3340  6 Mg 3.08-3.10, 3 Cd 3.32-3.35, 3 In 3.33-3.35
In 0.5000 0.5000 0.0000  6 Mg 3.13-3.17, 6 In 3.32-3.36
In 0.0000 0.6670 0.6660  6 Mg 3.08-3.10, 3 Cd 3.32-3.35, 3 In 3.33-3.35
In 0.5000 0.8323 0.3355  6 Mg 3.14-3.16, 6 In 3.32-3.36

Output
- Total moment: 0.0000 μB/atom
- Energy relative to the lowest polymorph listed for this composition: 7 meV per atom
- N(E_F): 0.31 states/eV/atom
- E_tot: -2.102 eV per atom
- Mass density: 4.87 Mg/m³

=====

[2]
The following is a DFT calculation (GGA-PBE) of an optimized crystal structure of MgCdIn2.

Cell: 4.6763 3.3353 7.1845 Å, 60.75 90.00 90.00°
With the nearest neighbours (Å) after each atom.
Sites, in units of the cell vectors:
Mg 0.0000 0.4979 0.5019  6 In 3.11-3.28, 4 Cd 3.23-3.27, 2 Mg 3.34
Cd 0.5000 0.7541 0.7452  6 In 3.07-3.30, 4 Mg 3.23-3.27, 2 Cd 3.34
In 0.0000 0.0015 0.9977  2 Mg 3.11-3.16, 4 Cd 3.26-3.30, 6 In 3.27-3.34
In 0.5000 0.2465 0.2553  2 Cd 3.07-3.20, 4 Mg 3.24-3.28, 6 In 3.27-3.34

Output
- Total moment: 0.0000 μB/atom
- N(E_F): 0.38 states/eV/atom
- E_tot: -2.023 eV per atom
- Mass density: 6.22 Mg/m³

=====

[3]
The following is a DFT calculation (GGA-PBE) of an optimized crystal structure of Mg3CdIn6.

Cell: 3.5532 10.1102 14.3237 Å, 90.00 89.99 90.00°
With the nearest neighbours (Å) after each atom.
Sites, in units of the cell vectors:
Mg 0.4999 0.0879 0.8287  7 In 3.06-3.43, 2 Cd 3.16
Mg 0.5000 0.5000 0.0000  8 In 2.96-3.19
Mg 0.5001 0.9121 0.1713  7 In 3.06-3.43, 2 Cd 3.16
Mg 0.9999 0.4121 0.3287  7 In 3.06-3.43, 2 Cd 3.16
Mg 0.0000 0.0000 0.5000  8 In 2.96-3.19
Mg 0.0001 0.5879 0.6713  7 In 3.06-3.43, 2 Cd 3.16
Cd 0.5000 0.5000 0.5000  2 In 2.89, 4 Mg 3.16
Cd 0.0000 0.0000 0.0000  2 In 2.89, 4 Mg 3.16
In 0.4991 0.7291 0.8497  3 Mg 3.16-3.43, 5 In 3.19-3.40
In 0.4999 0.7766 0.5496  1 Cd 2.89, 4 Mg 2.96-3.14, 2 In 3.20
In 0.4996 0.5957 0.2121  4 Mg 3.06-3.25, 5 In 3.19-3.40
In 0.5004 0.4043 0.7879  4 Mg 3.06-3.25, 5 In 3.19-3.40
In 0.5001 0.2234 0.4504  1 Cd 2.89, 4 Mg 2.96-3.14, 2 In 3.20
In 0.5009 0.2709 0.1503  3 Mg 3.16-3.43, 5 In 3.19-3.40
In 0.9991 0.7709 0.3497  3 Mg 3.16-3.43, 5 In 3.19-3.40
In 0.9999 0.7234 0.0496  1 Cd 2.89, 4 Mg 2.96-3.14, 2 In 3.20
In 0.9996 0.9043 0.7121  4 Mg 3.06-3.25, 5 In 3.19-3.40
In 0.0004 0.0957 0.2879  4 Mg 3.06-3.25, 5 In 3.19-3.40
In 0.0001 0.2766 0.9504  1 Cd 2.89, 4 Mg 2.96-3.14, 2 In 3.20
In 0.0009 0.2291 0.6503  3 Mg 3.16-3.43, 5 In 3.19-3.40

Output
- Total moment: 0.0000 μB/atom
- Energy relative to the lowest polymorph listed for this composition: 0 meV per atom
- N(E_F): 0.36 states/eV/atom
- E_tot: -2.208 eV per atom
- Mass density: 5.64 Mg/m³

=====

[4]
The following is a DFT calculation (GGA-PBE) of an optimized crystal structure of Mg7CdIn4.

Cell: 5.4232 8.8394 7.2943 Å, 83.09 68.18 72.14°
With the nearest neighbours (Å) after each atom.
Sites, in units of the cell vectors:
Mg 0.7834 0.8694 0.5638  4 In 2.98-3.12, 2 Mg 3.05-3.16
Mg 0.2166 0.1306 0.4362  4 In 2.98-3.12, 2 Mg 3.05-3.16
Mg 0.0697 0.6772 0.1834  5 In 2.92-3.22, 1 Cd 2.98, 2 Mg 3.05-3.24
Mg 0.9303 0.3228 0.8166  5 In 2.92-3.22, 1 Cd 2.98, 2 Mg 3.05-3.24
Mg 0.3485 0.5830 0.7200  5 In 2.92-3.13, 1 Mg 3.24
Mg 0.5000 0.0000 0.0000  2 Cd 2.71, 2 In 2.92
Mg 0.6515 0.4170 0.2800  5 In 2.92-3.13, 1 Mg 3.24
Cd 0.0000 0.0000 0.0000  4 Mg 2.71-2.98
In 0.5731 0.2180 0.6358  8 Mg 2.92-3.13, 1 In 3.13
In 0.4269 0.7820 0.3642  8 Mg 2.92-3.13, 1 In 3.13
In 0.7066 0.6576 0.9291  8 Mg 2.92-3.22, 1 In 3.13
In 0.2934 0.3424 0.0709  8 Mg 2.92-3.22, 1 In 3.13

Output
- Total moment: 0.0000 μB/atom
- N(E_F): 0.42 states/eV/atom
- E_tot: -1.881 eV per atom
- Mass density: 3.99 Mg/m³

=====

[5]
The following is a DFT calculation (GGA-PBE) of an optimized crystal structure of Mg2Cd3In2.

Cell: 4.4790 5.4527 7.2958 Å, 84.85 90.00 114.25°
With the nearest neighbours (Å) after each atom.
Sites, in units of the cell vectors:
Mg 0.5693 0.1386 0.2756  6 Cd 3.10-3.22, 5 In 3.16-3.27, 1 Mg 3.42
Mg 0.4307 0.8614 0.7244  6 Cd 3.10-3.22, 5 In 3.16-3.27, 1 Mg 3.42
Cd 0.2838 0.5676 0.1375  5 Cd 3.09-3.20, 4 Mg 3.10-3.22, 3 In 3.20-3.37
Cd 0.0000 0.0000 0.0000  6 Cd 3.09-3.20, 4 Mg 3.13, 2 In 3.27
Cd 0.7162 0.4324 0.8625  5 Cd 3.09-3.20, 4 Mg 3.10-3.22, 3 In 3.20-3.37
In 0.1423 0.2846 0.5762  3 In 3.14-3.22, 5 Mg 3.16-3.27, 4 Cd 3.20-3.37
In 0.8577 0.7154 0.4238  3 In 3.14-3.22, 5 Mg 3.16-3.27, 4 Cd 3.20-3.37

Output
- Total moment: 0.0000 μB/atom
- Energy relative to the lowest polymorph listed for this composition: 0 meV per atom
- N(E_F): 0.32 states/eV/atom
- E_tot: -1.679 eV per atom
- Mass density: 6.32 Mg/m³

=====

[6]
The following is a DFT calculation (GGA-PBE) of an optimized crystal structure of Mg2CdIn2.

Cell: 8.6945 8.6945 3.2995 Å, 90.00 90.00 90.00°
With the nearest neighbours (Å) after each atom.
Sites, in units of the cell vectors:
Mg 0.3706 0.8706 0.0000  6 In 2.97-3.10, 3 Mg 3.18-3.30
Mg 0.8706 0.6294 0.0000  6 In 2.97-3.10, 3 Mg 3.18-3.30
Mg 0.6294 0.1294 0.0000  6 In 2.97-3.10, 3 Mg 3.18-3.30
Mg 0.1294 0.3706 0.0000  6 In 2.97-3.10, 3 Mg 3.18-3.30
Cd 0.0000 0.0000 0.0000  2 Cd 3.30, 4 Mg 3.41, 8 In 3.62
Cd 0.5000 0.5000 0.0000  2 Cd 3.30, 4 Mg 3.41, 8 In 3.62
In 0.1700 0.6700 0.5000  6 Mg 2.97-3.10, 2 In 3.30
In 0.6700 0.8300 0.5000  6 Mg 2.97-3.10, 2 In 3.30
In 0.8300 0.3300 0.5000  6 Mg 2.97-3.10, 2 In 3.30
In 0.3300 0.1700 0.5000  6 Mg 2.97-3.10, 2 In 3.30

Output
- Total moment: 0.0000 μB/atom
- Energy relative to the lowest polymorph listed for this composition: 32 meV per atom
- N(E_F): 0.68 states/eV/atom
- E_tot: -1.892 eV per atom
- Mass density: 5.20 Mg/m³

=====

Calculated energy relative to the elements, -87; -26; 5; 38; -49; 24 meV/atom (same order as the records).